No. 1
Compound: Ba3Nd3HoS8
Source: Alexandria
Functional: GGA-PBE
Structure: relaxed

a b c (Å): 8.733 8.733 8.733
angles (deg): 56.84 56.84 56.84
Element x y z (fractional)
1 Ba 0.000 0.500 0.500
2 Ba 0.500 0.000 0.500
3 Ba 0.500 0.500 0.000
4 Nd 0.000 0.000 0.500
5 Nd 0.000 0.500 0.000
6 Nd 0.500 0.000 0.000
7 Ho 0.500 0.500 0.500
8 S 0.240 0.240 0.240
9 S 0.248 0.731 0.731
10 S 0.269 0.269 0.752
11 S 0.269 0.752 0.269
12 S 0.731 0.248 0.731
13 S 0.731 0.731 0.248
14 S 0.752 0.269 0.269
15 S 0.760 0.760 0.760

**Calculated volume**: 436.7 Å³/f.u.
**Total magnetization**: 0.00 μB/cell
**Formation energy without anion corrections**: -30.87 eV/f.u.



No. 2
Compound: RbSmHgTe3
Source: Alexandria
Functional: GGA-PBE
Structure: relaxed

a b c (Å): 9.728 4.590 11.061
angles (deg): 90.00 108.52 90.00
Element x y z (fractional)
1 Rb 0.223 0.250 0.255
2 Rb 0.777 0.750 0.745
3 Sm 0.323 0.750 0.863
4 Sm 0.677 0.250 0.137
5 Hg 0.089 0.250 0.618
6 Hg 0.911 0.750 0.382
7 Te 0.098 0.250 0.874
8 Te 0.231 0.750 0.547
9 Te 0.465 0.750 0.157
10 Te 0.535 0.250 0.843
11 Te 0.769 0.250 0.453
12 Te 0.902 0.750 0.126

**Calculated volume**: 234.2 Å³/f.u.
**Total magnetization**: 0.00 μB/cell
**Formation energy without anion corrections**: -5.80 eV/f.u.



No. 3
Compound: SnBiSb2
Source: Alexandria
Functional: GGA-PBE
Structure: relaxed

a b c (Å): 7.762 7.762 7.762
angles (deg): 33.17 33.17 33.17
Element x y z (fractional)
1 Sn 0.000 0.000 0.000
2 Bi 0.500 0.500 0.500
3 Sb 0.253 0.253 0.253
4 Sb 0.747 0.747 0.747

**Calculated volume**: 124.6 Å³/f.u.
**Total magnetization**: 0.00 μB/cell
**Formation energy without anion corrections**: 0.10 eV/f.u.



No. 4
Compound: FeP2Ir
Source: Alexandria
Functional: GGA-PBE
Structure: relaxed

a b c (Å): 3.959 3.959 4.643
angles (deg): 103.00 103.00 49.24
Element x y z (fractional)
1 Fe 0.000 0.000 0.000
2 P 0.304 0.304 0.068
3 P 0.517 0.517 0.660
4 Ir 0.776 0.776 0.423

**VASP energy**: -7.337 eV per atom
**Calculated volume**: 53.4 Å³/f.u.
**Total magnetization**: 0.00 μB/cell



No. 5
Compound: Pr4Ho3Se8
Source: Alexandria
Functional: GGA-PBE
Structure: relaxed

a b c (Å): 9.051 9.051 9.051
angles (deg): 53.61 53.61 53.61
Element x y z (fractional)
1 Pr 0.000 0.000 0.000
2 Pr 0.147 0.147 0.147
3 Pr 0.500 0.500 0.500
4 Pr 0.853 0.853 0.853
5 Ho 0.000 0.500 0.500
6 Ho 0.500 0.000 0.500
7 Ho 0.500 0.500 0.000
8 Se 0.250 0.250 0.733
9 Se 0.250 0.733 0.250
10 Se 0.267 0.750 0.750
11 Se 0.270 0.270 0.270
12 Se 0.730 0.730 0.730
13 Se 0.733 0.250 0.250
14 Se 0.750 0.267 0.750
15 Se 0.750 0.750 0.267

**Calculated volume**: 446.0 Å³/f.u.
**Total magnetization**: 0.00 μB/cell
**Formation energy without anion corrections**: -24.38 eV/f.u.



No. 6
Compound: V4SiNi2
Source: Alexandria
Functional: GGA-PBE
Structure: relaxed

a b c (Å): 6.607 6.607 6.607
angles (deg): 141.74 141.74 55.22
Element x y z (fractional)
1 V 0.000 0.500 0.500
2 V 0.199 0.199 0.000
3 V 0.500 0.000 0.500
4 V 0.801 0.801 0.000
5 Si 0.000 0.000 0.000
6 Ni 0.388 0.388 0.000
7 Ni 0.612 0.612 0.000

**Calculated volume**: 109.8 Å³/f.u.
**Total magnetization**: 1.72 μB/cell
**Formation energy without anion corrections**: 4.93 eV/f.u.



No. 7
Compound: YMn2Os
Source: Alexandria
Functional: GGA-PBE
Structure: relaxed

a b c (Å): 5.550 5.550 5.550
angles (deg): 146.45 129.78 61.75
Element x y z (fractional)
1 Y 0.000 0.000 0.000
2 Mn 0.283 0.783 0.500
3 Mn 0.717 0.217 0.500
4 Os 0.500 0.500 0.000

**VASP energy**: -8.717 eV per atom
**Calculated volume**: 71.9 Å³/f.u.
**Total magnetization**: 7.06 μB/cell